Here is a relaxed structure of Li4AcCo3F12 from Alexandria. Energies are from PBE with a Hubbard U.

```
20
Lattice="5.505 3.179 2.615 -5.505 3.179 2.615 0.000 -6.357 2.615" Properties=species:S:1:pos:R:3 pbc="T T T"
Li 0.000 0.000 0.000
Li -2.337 -2.310 2.615
Li -0.832 3.179 2.615
Li -2.337 2.310 5.229
Ac 0.000 0.000 3.922
Co -4.667 0.000 3.922
Co 2.334 -4.042 3.922
Co 2.334 4.042 3.922
F -3.221 -0.778 2.615
F -4.599 1.608 2.615
F 0.907 -4.787 2.615
F -0.536 -2.007 2.573
F -1.470 1.468 2.573
F 2.284 -2.401 2.615
F -1.470 -1.468 5.271
F 2.006 0.539 2.573
F 0.937 3.179 2.615
F -0.536 2.007 5.271
F 2.006 -0.539 5.271
F 3.692 3.179 2.615
```

Computed properties:
DFT total energy in eV/atom: -5.1243
ρ in kg/m³: 3989
Density of states at the Fermi level in states/eV/cell: 6.800